# 1
The following is a PBE calculation of crystalline LiPaInRh at its relaxed geometry, from Alexandria.

Lattice parameters (Å, degrees): 6.7264 6.7264 6.7264 90.00 90.00 90.00
Space group F-43m (No. 216)
Asymmetric unit:
1 Li 0.0000 0.0000 0.0000 [4 per cell]
2 Pa 0.2500 0.2500 0.7500 [4 per cell]
3 In 0.2500 0.2500 0.2500 [4 per cell]
4 Rh 0.0000 0.0000 0.5000 [4 per cell]

Summary:
Formation energy from the elements in meV/atom: -370
Spin magnetization in μB/f.u.: 0.00

***

# 2
The following is a PBE calculation of crystalline LiPaIn4Rh2 at its relaxed geometry, from Alexandria.

Lattice parameters (Å, degrees): 4.1047 4.1047 10.3291 90.00 90.00 90.00
Space group P4/mmm (No. 123)
Asymmetric unit:
1 Li 0.0000 0.0000 0.0000 [1 per cell]
2 Pa 0.0000 0.0000 0.5000 [1 per cell]
3 In 0.0000 0.5000 0.1937 [4 per cell]
4 Rh 0.5000 0.5000 0.3783 [2 per cell]

Summary:
Formation energy from the elements in meV/atom: -169
Spin magnetization in μB/f.u.: 0.01

***

# 3
The following is a PBE calculation of crystalline LiPaIn2S6 at its relaxed geometry, from Alexandria.

Lattice parameters (Å, degrees): 6.6200 6.6200 18.1805 90.00 90.00 120.00
Space group R3 (No. 146, hexagonal axes)
Asymmetric unit:
1 Li 0.0000 0.0000 0.0000 [3 per cell]
2 Pa 0.0000 0.0000 0.4947 [3 per cell]
3 In 0.0000 0.0000 0.2993 [3 per cell]
4 In 0.0000 0.0000 0.8028 [3 per cell]
5 S 0.0242 0.6708 0.0697 [9 per cell]
6 S 0.0295 0.3542 0.5726 [9 per cell]

Summary:
Raw formation energy in eV/f.u.: -9.7
Spin magnetization in μB/f.u.: 0.00

***

# 4
The following is a PBE calculation of crystalline LiPaInS4 at its relaxed geometry, from Alexandria.

Lattice parameters (Å, degrees): 7.7720 8.0237 11.1071 90.00 90.00 90.00
Space group Imma (No. 74)
Asymmetric unit:
1 Li 0.0000 0.2500 0.1348 [4 per cell]
2 Pa 0.0000 0.0000 0.5000 [4 per cell]
3 In 0.2500 0.2500 0.7500 [4 per cell]
4 S 0.0000 0.0188 0.7423 [8 per cell]
5 S 0.2351 0.2500 0.4996 [8 per cell]

Summary:
Raw formation energy in eV/f.u.: -8.1
Spin magnetization in μB/f.u.: 0.75

***

# 5
The following is a PBE calculation of crystalline Li2PaInS4 at its relaxed geometry, from Alexandria.

Lattice parameters (Å, degrees): 9.8500 6.8100 6.8104 90.00 133.63 90.00
Space group C2 (No. 5)
Asymmetric unit:
1 Li 0.2500 0.0000 0.2499 [4 per cell]
2 Pa 0.0000 0.0002 0.5000 [2 per cell]
3 In 0.0000 0.5001 0.0000 [2 per cell]
4 S 0.1764 0.2377 0.9144 [4 per cell]
5 S 0.1766 0.7619 0.4387 [4 per cell]

Summary:
Raw formation energy in eV/f.u.: -8.7
Spin magnetization in μB/f.u.: 0.17

***

# 6
The following is a PBE calculation of crystalline Li2PaIn2S4 at its relaxed geometry, from Alexandria.

Lattice parameters (Å, degrees): 14.8845 4.1045 7.4035 90.00 110.62 90.00
Space group C2/m (No. 12)
Asymmetric unit:
1 Li 0.1828 0.0000 0.4864 [4 per cell]
2 Pa 0.0000 0.5000 0.5000 [2 per cell]
3 In 0.1390 0.5000 0.0586 [4 per cell]
4 S 0.0162 0.0000 0.2700 [4 per cell]
5 S 0.1950 0.5000 0.6699 [4 per cell]

Summary:
Raw formation energy in eV/f.u.: -9.2
Spin magnetization in μB/f.u.: 1.02

***

# 7
The following is a PBE calculation of crystalline LiPaInSe4 at its relaxed geometry, from Alexandria.

Lattice parameters (Å, degrees): 8.1382 8.3438 11.7494 90.00 90.00 90.00
Space group Imma (No. 74)
Asymmetric unit:
1 Li 0.0000 0.2500 0.1360 [4 per cell]
2 Pa 0.0000 0.0000 0.5000 [4 per cell]
3 In 0.2500 0.2500 0.7500 [4 per cell]
4 Se 0.0000 0.0121 0.7382 [8 per cell]
5 Se 0.2371 0.2500 0.4992 [8 per cell]

Summary:
Raw formation energy in eV/f.u.: -7.2
Spin magnetization in μB/f.u.: 0.59

***

# 8
The following is a PBE calculation of crystalline LiPaInSn at its relaxed geometry, from Alexandria.

Lattice parameters (Å, degrees): 7.2871 7.2871 7.2871 90.00 90.00 90.00
Space group F-43m (No. 216)
Asymmetric unit:
1 Li 0.0000 0.0000 0.0000 [4 per cell]
2 Pa 0.0000 0.0000 0.5000 [4 per cell]
3 In 0.2500 0.2500 0.2500 [4 per cell]
4 Sn 0.2500 0.2500 0.7500 [4 per cell]

Summary:
Formation energy from the elements in meV/atom: -68
Spin magnetization in μB/f.u.: 0.49

***

# 9
The following is a PBE calculation of crystalline LiPa3In3Te8 at its relaxed geometry, from Alexandria.

Lattice parameters (Å, degrees): 8.6857 8.6857 24.6471 90.00 90.00 120.00
Space group R-3m (No. 166, hexagonal axes)
Asymmetric unit:
1 Li 0.0000 0.0000 0.0000 [3 per cell]
2 Pa 0.0000 0.5000 0.0000 [9 per cell]
3 In 0.0000 0.5000 0.5000 [9 per cell]
4 Te 0.0000 0.0000 0.2583 [6 per cell]
5 Te 0.0031 0.5016 0.2620 [18 per cell]

Summary:
Raw formation energy in eV/f.u.: -9.2
Spin magnetization in μB/f.u.: 3.01

***

# 10
The following is a PBE calculation of crystalline Li2PaIn3Te6 at its relaxed geometry, from Alexandria.

Lattice parameters (Å, degrees): 7.5214 12.9818 7.9083 90.00 108.63 90.00
Space group C2/m (No. 12)
Asymmetric unit:
1 Li 0.0000 0.1690 0.0000 [4 per cell]
2 Pa 0.0000 0.5000 0.0000 [2 per cell]
3 In 0.0000 0.0000 0.5000 [2 per cell]
4 In 0.0000 0.3400 0.5000 [4 per cell]
5 Te 0.2407 0.3356 0.2333 [8 per cell]
6 Te 0.2459 0.0000 0.2296 [4 per cell]

Summary:
Raw formation energy in eV/f.u.: -6.8
Spin magnetization in μB/f.u.: 0.00

***

# 11
The following is a PBE calculation of crystalline LiPaTlIn at its relaxed geometry, from Alexandria.

Lattice parameters (Å, degrees): 7.3378 7.3378 7.3378 90.00 90.00 90.00
Space group F-43m (No. 216)
Asymmetric unit:
1 Li 0.0000 0.0000 0.0000 [4 per cell]
2 Pa 0.0000 0.0000 0.5000 [4 per cell]
3 Tl 0.2500 0.2500 0.7500 [4 per cell]
4 In 0.2500 0.2500 0.2500 [4 per cell]

Summary:
Formation energy from the elements in meV/atom: 74
Spin magnetization in μB/f.u.: 1.24

***

# 12
The following is a PBE calculation of crystalline LiPaZnIn at its relaxed geometry, from Alexandria.

Lattice parameters (Å, degrees): 6.8534 6.8534 6.8534 90.00 90.00 90.00
Space group F-43m (No. 216)
Asymmetric unit:
1 Li 0.0000 0.0000 0.0000 [4 per cell]
2 Pa 0.2500 0.2500 0.7500 [4 per cell]
3 Zn 0.0000 0.0000 0.5000 [4 per cell]
4 In 0.2500 0.2500 0.2500 [4 per cell]

Summary:
Formation energy from the elements in meV/atom: 75
Spin magnetization in μB/f.u.: 0.68